Material: TlRh2W
Method: DFT, GGA-PBE
State: optimized geometry

The calculation puts the density at 14.798 g cm⁻³. As for the raw total energy: -57.7 eV for the cell shown. For the density of states at the Fermi level, the calculation gives 7.99 states/eV/cell. For the energy above the most stable polymorph in this dataset, the calculation gives 0.3062 eV/atom. For the total moment, the calculation gives 0.00 μB/cell. As for the energy of formation from the pure elements: 292 meV/atom.

Cell: 9.039 2.890 5.165 Å, 90.00 98.90 90.00°
Space group C2/m (No. 12)
One atom of each set of equivalent atoms:
Tl (0.000, 0.000, 0.000) x2
Rh (0.246, 0.000, 0.724) x4
W (0.000, 0.500, 0.500) x2

***

Material: CaCu2Br
Method: DFT, GGA-PBE
State: optimized geometry

The calculation puts the density at 4.695 g cm⁻³. Its formation energy without anion corrections is -192 meV/atom. As for the raw total energy: -25.3 eV for the cell shown. For the density of states at the Fermi level, the calculation gives 2.17 states/eV/cell. For the energy above the most stable polymorph in this dataset, the calculation gives 0.2626 eV/atom. For the total moment, the calculation gives 0.00 μB/cell.

Cell: 5.494 11.530 3.796 Å, 90.00 133.38 90.00°
Space group C2/m (No. 12)
One atom of each set of equivalent atoms:
Ca (0.000, 0.000, 0.000) x2
Cu (0.250, 0.250, 0.500) x4
Br (0.000, 0.500, 0.000) x2

***

Material: Ba2AlGeAu6
Method: DFT, GGA-PBE
State: optimized geometry

The calculation puts the density at 9.949 g cm⁻³. As for the raw total energy: -37.0 eV for the cell shown. For the density of states at the Fermi level, the calculation gives 2.37 states/eV/cell. For the total moment, the calculation gives 0.00 μB/cell. As for the energy of formation from the pure elements: -517 meV/atom.

Cell: 7.061 7.105 7.196 Å, 119.45 119.31 90.13°
Space group P-1 (No. 2)
One atom of each set of equivalent atoms:
Ba (0.213, 0.213, 0.426) x2
Al (0.500, 0.000, 0.000) x1
Ge (0.000, 0.500, 0.000) x1
Au (0.253, 0.752, 0.505) x2
Au (0.296, 0.292, 0.000) x2
Au (0.300, 0.704, 0.999) x2

***

Material: Li2HgAs
Method: DFT, GGA-PBE
State: optimized geometry

The calculation puts the density at 6.370 g cm⁻³. As for the raw total energy: -39.6 eV for the cell shown. For the density of states at the Fermi level, the calculation gives 8.17 states/eV/cell. For the total moment, the calculation gives 0.00 μB/cell. As for the energy of formation from the pure elements: -281 meV/atom.

Cell: 6.707 6.707 6.707 Å, 90.00 90.00 90.00°
Space group F-43m (No. 216)
One atom of each set of equivalent atoms:
Li (0.000, 0.000, 0.000) x4
Li (0.250, 0.250, 0.250) x4
Hg (0.000, 0.000, 0.500) x4
As (0.250, 0.250, 0.750) x4

***

Material: PrBPtO5
Method: DFT, GGA-PBE
State: optimized geometry

The calculation puts the density at 7.806 g cm⁻³. Its formation energy without anion corrections is -1938 meV/atom. As for the raw total energy: -231.2 eV for the cell shown. For the density of states at the Fermi level, the calculation gives 2.17 states/eV/cell. For the total moment, the calculation gives 0.00 μB/cell.

Cell: 6.416 8.880 6.936 Å, 90.00 113.22 90.00°
Space group C2/c (No. 15)
One atom of each set of equivalent atoms:
Pr (0.000, 0.144, 0.250) x4
B (0.000, 0.197, 0.750) x4
Pt (0.000, 0.500, 0.000) x4
O (0.000, 0.400, 0.250) x4
O (0.105, 0.286, 0.633) x8
O (0.167, 0.088, 0.918) x8

***

Material: Ca2PrAu
Method: DFT, GGA-PBE
State: optimized geometry

The calculation puts the density at 4.967 g cm⁻³. As for the raw total energy: -38.1 eV for the cell shown. For the density of states at the Fermi level, the calculation gives 11.02 states/eV/cell. For the energy above the most stable polymorph in this dataset, the calculation gives 0.2495 eV/atom. For the total moment, the calculation gives 0.00 μB/cell. As for the energy of formation from the pure elements: -157 meV/atom.

Cell: 3.7974 3.7974 33.5703 Å, 90.00 90.00 120.00°
Space group R-3m (No. 166, hexagonal axes)
One atom of each set of equivalent atoms:
Ca (0.0000, 0.0000, 0.1077) x6
Pr (0.0000, 0.0000, 0.0000) x3
Au (0.0000, 0.0000, 0.5000) x3